No. 1
TlCrRe2: optimized geometry, PBE.

Cell: 2.8358 2.8358 9.0182 Å, 90.00 90.00 113.57°
Sites, in units of the cell vectors:
Tl 0.0000 0.0000 0.0000
Cr 0.5000 0.5000 0.2684
Re 0.0000 0.0000 0.4796
Re 0.5000 0.5000 0.7166

Distance to the lowest polymorph of the same formula: 205.0 meV per atom
ΔH_f (0 K): 2.881 eV per formula unit
Energy: -8.50 eV/atom

No. 2
NiAsSeN2: optimized geometry, PBE.

Cell: 3.7499 3.7499 5.2142 Å, 90.00 90.00 90.00°
Sites, in units of the cell vectors:
Ni 0.0000 0.0000 0.0000
As 0.5000 0.5000 0.5000
Se 0.0000 0.0000 0.5000
N 0.0000 0.5000 0.0000
N 0.5000 0.0000 0.0000

ΔE_f (raw): 598 kJ/mol of formula units
Distance to the lowest polymorph of the same formula: 0.0 meV per atom
Energy: -4.87 eV/atom

No. 3
Ac2BiPd9: optimized geometry, PBE.

Cell: 4.2814 4.2814 12.6373 Å, 90.00 90.00 90.00°
Sites, in units of the cell vectors:
Ac 0.0000 0.0000 0.1705
Ac 0.0000 0.0000 0.8295
Bi 0.0000 0.0000 0.5000
Pd 0.0000 0.5000 0.0000
Pd 0.0000 0.5000 0.3452
Pd 0.0000 0.5000 0.6548
Pd 0.5000 0.0000 0.0000
Pd 0.5000 0.0000 0.3452
Pd 0.5000 0.0000 0.6548
Pd 0.5000 0.5000 0.1776
Pd 0.5000 0.5000 0.5000
Pd 0.5000 0.5000 0.8224

Distance to the lowest polymorph of the same formula: 0.0 meV per atom
ΔH_f (0 K): -6.719 eV per formula unit
Energy: -5.46 eV/atom

No. 4
HfCdN2O: optimized geometry, PBE.

Cell: 4.2003 4.2003 3.7963 Å, 90.00 90.00 90.00°
Sites, in units of the cell vectors:
Hf 0.0000 0.0000 0.0000
Cd 0.5000 0.5000 0.0000
N 0.0000 0.5000 0.5000
N 0.5000 0.0000 0.5000
O 0.5000 0.5000 0.5000

ΔE_f (raw): 677 kJ/mol of formula units
Energy: -5.09 eV/atom

No. 5
ErPuThMg: optimized geometry, PBE.

Cell: 5.4278 5.4278 5.4278 Å, 60.00 60.00 60.00°
Sites, in units of the cell vectors:
Er 0.0000 0.0000 0.0000
Pu 0.7500 0.7500 0.7500
Th 0.5000 0.5000 0.5000
Mg 0.2500 0.2500 0.2500

ΔH_f (0 K): 0.704 eV per formula unit
Energy: -6.80 eV/atom

No. 6
Ac4InGaAg2: optimized geometry, PBE.

Cell: 9.7924 9.7924 9.7924 Å, 33.54 33.54 33.54°
Sites, in units of the cell vectors:
Ac 0.1213 0.1213 0.1213
Ac 0.3715 0.3715 0.3715
Ac 0.6285 0.6285 0.6285
Ac 0.8787 0.8787 0.8787
In 0.5000 0.5000 0.5000
Ga 0.0000 0.0000 0.0000
Ag 0.2463 0.2463 0.2463
Ag 0.7537 0.7537 0.7537

ΔH_f (0 K): -2.816 eV per formula unit
Energy: -3.84 eV/atom